The following is a DFT calculation (PBE) of an optimized crystal structure of AgSnBi2.

Values from the calculation:
Electronic total energy: -3.55 eV per atom

a = 5.3726 Å, b = 5.3726 Å, c = 5.3726 Å
α = 60.00°, β = 60.00°, γ = 60.00°
Positions (direct):
Sn 0.0000 0.0000 0.0000
Bi 0.2500 0.2500 0.2500
Bi 0.5000 0.5000 0.5000
Ag 0.7500 0.7500 0.7500